The following is a DFT calculation (PBEsol) of a relaxed AlCd2Au crystal.

Calculated values
- Crystal system: monoclinic
- DFT formation energy: -0.0764 eV per atom

The structure in CIF format:
```
data_AlCd2Au
_chemical_formula_sum 'Al1 Cd2 Au1'
_space_group_name_H-M_alt 'P 1 m 1'
_space_group_IT_number 6
_space_group_name_Hall 'P -2y'
_cell_length_a 3.344
_cell_length_b 4.368
_cell_length_c 5.352
_cell_angle_alpha 90.00
_cell_angle_beta 102.48
_cell_angle_gamma 90.00
loop_
_atom_site_label
_atom_site_fract_x
_atom_site_fract_y
_atom_site_fract_z
Al1 0.000 0.000 0.000
Cd1 0.433 0.500 0.792
Cd2 0.687 0.000 0.470
Au1 0.125 0.500 0.257
```